# 1
La2P, relaxed, DFT PBE-GGA; SG = No. 63; crystal system = orthorhombic; calculated total energy = -6.026 eV/atom
1.0
0.739 8.420 0.510
-4.324 -7.032 -1.888
-2.205 -0.145 5.587
La P
4 2
Cartesian
-2.508 3.449 3.945 La
-4.546 -6.063 -0.336 La
-3.281 -2.205 0.263 La
-1.244 7.307 4.544 La
-1.392 3.562 1.158 P
-4.398 -2.318 3.050 P

---

# 2
LaP, relaxed, DFT PBE-GGA; SG = No. 129; crystal system = tetragonal; calculated total energy = -6.449 eV/atom
1.0
5.213 0.000 0.000
0.000 5.213 0.000
0.000 0.000 3.715
La P
2 2
Cartesian
1.303 1.303 1.304 La
3.910 3.910 2.411 La
3.910 1.303 0.000 P
1.303 3.910 0.000 P

---

# 3
La3P, relaxed, DFT PBE-GGA; SG = No. 44; crystal system = orthorhombic; calculated total energy = -5.699 eV/atom; distance to the lowest polymorph of the same formula = 0.41 eV per formula unit
1.0
3.910 0.000 0.000
0.000 6.564 0.000
-1.955 -3.282 4.808
P La
1 3
Cartesian
0.000 0.510 0.000 P
0.000 2.247 3.003 La
1.955 -1.035 1.805 La
1.955 2.655 0.000 La

---

# 4
La4P3, relaxed, DFT PBE-GGA; SG = No. 166; crystal system = trigonal; calculated total energy = -6.467 eV/atom; distance to the lowest polymorph of the same formula = 0.12 eV per formula unit
1.0
4.164 0.000 0.838
1.998 3.654 0.838
-0.649 -0.385 13.990
P La
3 4
Cartesian
1.359 0.806 4.010 P
0.000 0.000 0.000 P
4.153 2.463 11.656 P
1.735 1.029 12.906 La
0.344 0.204 9.056 La
3.777 2.240 2.760 La
5.169 3.065 6.610 La

---

# 5
LaP3, relaxed, DFT PBE-GGA; SG = No. 221; crystal system = cubic; calculated total energy = -5.690 eV/atom
1.0
4.252 0.000 0.000
0.000 4.252 0.000
0.000 0.000 4.244
P La
3 1
Cartesian
2.126 2.126 0.000 P
0.000 2.126 2.122 P
2.126 0.000 2.122 P
0.000 0.000 0.000 La

---

# 6
La7P, relaxed, DFT PBE-GGA; SG = No. 225; crystal system = cubic; calculated total energy = -5.148 eV/atom
1.0
6.188 -3.380 -0.167
0.204 -7.018 0.674
1.670 -4.028 -5.544
P La
1 7
Cartesian
0.000 0.000 0.000 P
3.196 -5.199 0.253 La
0.937 -5.523 -2.435 La
3.094 -1.690 -0.083 La
4.031 -7.213 -2.518 La
3.929 -3.704 -2.855 La
0.102 -3.509 0.337 La
0.835 -2.014 -2.772 La

---

# 7
LaP2, relaxed, DFT PBE-GGA; SG = No. 140; crystal system = tetragonal; calculated total energy = -6.121 eV/atom
1.0
-2.968 2.968 4.039
2.968 -2.968 4.039
2.968 2.968 -4.039
P La
4 2
Cartesian
-0.767 2.201 4.039 P
0.767 2.201 0.000 P
3.735 0.767 0.000 P
2.201 0.767 4.039 P
0.000 0.000 2.020 La
0.000 0.000 6.059 La

---

# 8
La3P, relaxed, DFT PBE-GGA; SG = No. 71; crystal system = orthorhombic; calculated total energy = -5.643 eV/atom; distance to the lowest polymorph of the same formula = 0.64 eV per formula unit
1.0
7.417 0.020 0.000
4.756 5.691 0.000
-5.743 -3.588 3.026
P La
1 3
Cartesian
0.837 -1.784 1.513 P
4.029 1.890 0.000 La
8.145 3.821 0.000 La
-0.493 1.052 1.513 La

---

# 9
LaP, relaxed, DFT PBE-GGA; SG = No. 8; crystal system = monoclinic; calculated total energy = -6.482 eV/atom
1.0
-4.771 -3.045 1.694
-2.495 -5.308 -0.715
1.673 -4.646 5.943
La P
3 3
Cartesian
-2.053 -4.514 2.299 La
-4.892 -5.820 0.844 La
-2.677 -7.605 4.612 La
-6.791 -7.965 1.064 P
-0.583 -5.447 4.564 P
0.033 -2.381 2.267 P

---

# 10
LaP3, relaxed, DFT PBE-GGA; SG = No. 221; crystal system = cubic; calculated total energy = -4.168 eV/atom
1.0
-1.720 4.283 -3.237
-1.131 -3.611 -4.178
-5.248 -0.625 1.961
P La
3 1
Cartesian
-2.624 -0.312 0.981 P
-0.566 -1.806 -2.089 P
-0.860 2.142 -1.618 P
0.000 0.000 0.000 La

---

# 11
LaP3, relaxed, DFT PBE-GGA; SG = No. 139; crystal system = tetragonal; calculated total energy = -5.770 eV/atom
1.0
-2.230 2.230 8.377
2.230 -2.230 8.377
2.230 2.230 -8.377
La P
2 6
Cartesian
0.000 0.000 6.291 La
0.000 0.000 10.462 La
0.000 0.000 1.123 P
2.230 0.000 0.000 P
2.230 0.000 4.188 P
0.000 0.000 15.630 P
0.000 2.230 0.000 P
0.000 2.230 4.188 P

---

# 12
LaP4, relaxed, DFT PBE-GGA; SG = No. 139; crystal system = tetragonal; calculated total energy = -5.665 eV/atom; distance to the lowest polymorph of the same formula = 0.00 eV per formula unit
1.0
3.162 0.884 4.671
-1.828 4.748 2.589
-2.809 -4.617 -1.839
P La
4 1
Cartesian
0.510 -0.459 3.231 P
0.414 1.747 2.252 P
0.920 3.885 5.008 P
-1.985 1.474 2.190 P
0.000 0.000 0.000 La

---

# 13
LaP2, relaxed, DFT PBE-GGA; SG = No. 65; crystal system = orthorhombic; calculated total energy = -6.180 eV/atom
1.0
2.196 -3.578 0.000
2.196 3.578 0.000
0.000 0.000 4.006
P La
2 1
Cartesian
2.196 -1.128 0.000 P
2.196 1.128 0.000 P
0.000 0.000 2.003 La

---

# 14
LaP, relaxed, DFT PBE-GGA; SG = No. 166; crystal system = trigonal; calculated total energy = -6.199 eV/atom
1.0
8.022 -0.022 -0.013
6.505 4.695 -0.013
6.505 2.093 4.203
La P
2 2
Cartesian
4.883 1.571 0.970 La
16.149 5.195 3.207 La
18.816 6.053 3.736 P
2.216 0.713 0.440 P

---

# 15
La3P5, relaxed, DFT PBE-GGA; SG = No. 8; crystal system = monoclinic; calculated total energy = -6.214 eV/atom; distance to the lowest polymorph of the same formula = 0.00 eV per formula unit
1.0
-4.965 5.494 1.790
-0.969 -5.595 -5.855
-0.573 -4.871 7.320
P La
10 6
Cartesian
-4.297 -0.739 6.751 P
-1.196 -4.085 1.516 P
-3.969 -2.602 5.506 P
-1.130 -2.013 0.733 P
-4.322 0.471 3.664 P
-2.838 -2.958 -2.731 P
-5.097 -1.081 0.030 P
-6.063 -2.424 1.474 P
-2.354 -4.604 -4.209 P
-2.724 -4.229 3.115 P
-4.240 1.688 0.972 La
-4.602 -0.513 -2.750 La
-1.741 -4.684 5.905 La
-1.519 -6.927 2.535 La
-3.842 -3.730 0.076 La
-2.084 -1.375 3.443 La

---

# 16
LaP, relaxed, DFT PBE-GGA; SG = No. 227; crystal system = cubic; calculated total energy = -5.552 eV/atom
1.0
-4.261 -2.500 -0.943
-0.490 -4.782 1.479
-3.122 -1.159 3.769
La P
2 2
Cartesian
-1.968 -2.110 1.076 La
0.000 0.000 0.000 La
-5.904 -6.331 3.229 P
-3.936 -4.221 2.153 P

---

# 17
La3P, relaxed, DFT PBE-GGA; SG = No. 225; crystal system = cubic; calculated total energy = -5.227 eV/atom; distance to the lowest polymorph of the same formula = 2.30 eV per formula unit
1.0
5.358 0.000 0.000
2.679 4.641 0.000
2.679 1.547 4.375
La P
3 1
Cartesian
2.679 1.547 1.094 La
5.358 3.094 2.188 La
0.000 0.000 0.000 La
8.038 4.641 3.281 P

---

# 18
La3P, relaxed, DFT PBE-GGA; SG = No. 221; crystal system = cubic; calculated total energy = -5.547 eV/atom; distance to the lowest polymorph of the same formula = 1.02 eV per formula unit
1.0
4.778 0.000 0.000
0.000 4.778 0.000
0.000 0.000 4.778
La P
3 1
Cartesian
2.389 0.000 2.389 La
0.000 2.389 2.389 La
2.389 2.389 0.000 La
0.000 0.000 0.000 P

---

# 19
LaP3, relaxed, DFT PBE-GGA; SG = No. 71; crystal system = orthorhombic; calculated total energy = -5.784 eV/atom
1.0
5.279 0.002 -0.004
1.523 5.055 0.004
-2.712 -3.456 2.928
La P
1 3
Cartesian
1.284 -1.727 1.462 La
1.295 0.963 0.000 P
-0.594 0.799 1.466 P
5.507 4.094 0.000 P

---

# 20
La3P, relaxed, DFT PBE-GGA; SG = No. 187; crystal system = hexagonal; calculated total energy = -5.628 eV/atom; distance to the lowest polymorph of the same formula = 0.70 eV per formula unit
1.0
-2.002 1.197 -3.292
-1.867 -2.229 2.798
-2.727 8.026 4.575
La P
3 1
Cartesian
-2.557 7.526 4.290 La
-2.639 2.061 -0.118 La
-1.533 4.513 2.573 La
-4.002 6.074 2.169 P

---

# 21
La3P, relaxed, DFT PBE-GGA; SG = No. 123; crystal system = tetragonal; calculated total energy = -5.637 eV/atom; distance to the lowest polymorph of the same formula = 0.66 eV per formula unit
1.0
3.789 -0.004 0.000
0.005 3.789 0.000
0.000 0.000 8.401
P La
1 3
Cartesian
1.897 1.892 2.100 P
0.000 0.000 3.673 La
0.000 0.000 0.527 La
1.897 1.892 6.300 La

---

# 22
LaP2, relaxed, DFT PBE-GGA; SG = No. 123; crystal system = tetragonal; calculated total energy = -6.035 eV/atom
1.0
3.895 0.000 0.000
0.000 3.895 0.000
0.000 0.000 4.550
P La
2 1
Cartesian
1.948 0.000 2.275 P
0.000 1.948 2.275 P
0.000 0.000 0.000 La

---

# 23
La3P, relaxed, DFT PBE-GGA; SG = No. 166; crystal system = trigonal; calculated total energy = -5.334 eV/atom; distance to the lowest polymorph of the same formula = 1.87 eV per formula unit
1.0
6.040 -0.001 -0.001
-2.623 5.441 -0.001
-2.623 -4.175 3.489
La P
3 1
Cartesian
1.709 2.720 -0.001 La
0.000 0.000 0.000 La
1.709 -2.088 1.744 La
-2.623 0.633 1.744 P

---

# 24
LaP3, relaxed, DFT PBE-GGA; SG = No. 59; crystal system = orthorhombic; calculated total energy = -6.000 eV/atom
1.0
-3.434 1.539 -2.127
-2.398 0.131 3.965
2.690 7.894 1.367
P La
6 2
Cartesian
-1.825 0.346 1.595 P
1.675 5.854 0.820 P
-1.463 5.205 -1.056 P
0.461 2.288 0.203 P
-3.748 3.262 0.336 P
-2.273 7.591 1.085 P
-2.215 0.992 -1.372 La
-1.073 4.559 1.911 La

---

# 25
La2P, relaxed, DFT PBE-GGA; SG = No. 58; crystal system = orthorhombic; calculated total energy = -6.046 eV/atom
1.0
4.136 0.000 0.000
0.000 6.771 0.000
0.000 0.000 7.069
La P
4 2
Cartesian
2.068 1.753 1.115 La
2.068 5.019 5.954 La
0.000 5.138 2.419 La
0.000 1.633 4.650 La
0.000 0.000 0.000 P
2.068 3.386 3.534 P

---

# 26
LaP2, relaxed, DFT PBE-GGA; SG = No. 139; crystal system = tetragonal; calculated total energy = -5.815 eV/atom
1.0
5.547 0.020 0.000
3.323 4.442 0.000
-4.435 -2.231 2.475
P La
2 1
Cartesian
1.871 0.941 0.000 P
7.000 3.521 0.000 P
4.435 2.231 0.000 La

---

# 27
La3P, relaxed, DFT PBE-GGA; SG = No. 63; crystal system = orthorhombic; calculated total energy = -5.520 eV/atom; distance to the lowest polymorph of the same formula = 1.13 eV per formula unit
1.0
3.927 -5.193 0.000
3.927 5.193 0.000
0.000 0.000 6.048
La P
6 2
Cartesian
4.687 3.104 1.512 La
2.193 0.000 4.536 La
3.167 -3.104 4.536 La
4.687 -3.104 1.512 La
5.662 0.000 1.512 La
3.167 3.104 4.536 La
5.074 0.000 4.536 P
2.781 0.000 1.512 P

---

# 28
LaP, relaxed, DFT PBE-GGA; SG = No. 166; crystal system = trigonal; calculated total energy = -5.742 eV/atom
1.0
-6.275 4.486 -1.546
-6.586 0.549 -4.269
-7.851 0.373 0.355
P La
2 2
Cartesian
-8.864 2.315 -2.336 P
-6.670 1.742 -1.758 P
-16.247 4.243 -4.283 La
-19.998 5.222 -5.271 La